Below is Sr2GdCrCu2O8 after structural relaxation, with properties calculated at the PBE+U level.

abc: 3.8566 3.8566 11.5675
angles: 90.00 90.00 90.12
Last column: magnetic moment on the atom in μB.
Positions (direct):
Cu1 0.0045 0.9955 0.1570  -0.06
Cu2 0.0045 0.9955 0.8430  -0.06
O1 0.5047 0.9954 0.1262  -0.02
O2 0.0064 0.4937 0.5000  -0.02
O3 0.0063 0.9937 0.6659  -0.07
O4 0.5047 0.9954 0.8738  -0.02
O5 0.0046 0.4953 0.1262  -0.02
O6 0.5063 0.9936 0.5000  -0.02
O7 0.0046 0.4953 0.8738  -0.02
O8 0.0063 0.9937 0.3341  -0.07
Sr1 0.5059 0.4941 0.3352  0.00
Sr2 0.5059 0.4941 0.6648  0.00
Cr1 0.0061 0.9939 0.5000  2.05
Gd1 0.5046 0.4954 0.0000  6.91

Properties
- DFT total energy (eV/atom) = -7.166
- crystal system = orthorhombic
- space group = Amm2, No. 38